(1)
Ce3Sm3TmTe8, optimized geometry, DFT GGA-PBE; E_tot = -5.501 eV per atom
1.0
-2.3641 -7.3339 -4.4451
7.0392 -0.1745 5.4007
-8.2054 0.5713 3.4221
Te Ce Sm Tm
8 3 3 1
direct
0.7524 0.0026 0.2549 Te
0.2476 0.4954 0.7451 Te
0.2476 0.9974 0.7451 Te
0.7524 0.5046 0.2549 Te
0.2512 0.5025 0.2536 Te
0.2503 0.0026 0.2550 Te
0.7488 0.4975 0.7464 Te
0.7497 0.9974 0.7450 Te
0.5000 0.5000 0.0000 Ce
0.0000 0.0000 0.0000 Ce
0.0000 0.5000 0.0000 Ce
0.5000 0.5000 0.5000 Sm
0.5000 0.0000 0.5000 Sm
0.0000 0.5000 0.5000 Sm
0.0000 0.0000 0.5000 Tm


(2)
TlRh2Au, optimized geometry, DFT GGA-PBE; formation enthalpy at 0 K = 198 meV/atom
1.0
1.5125 4.5671 -0.0047
-1.5125 4.5671 -0.0047
0.0000 1.0493 5.0062
Rh Au Tl
2 1 1
direct
0.7487 0.7487 0.2392 Rh
0.2513 0.2513 0.7608 Rh
0.5000 0.5000 0.0000 Au
0.0000 0.0000 0.5000 Tl


(3)
Pm3ZrIr3, optimized geometry, DFT GGA-PBE; formation enthalpy at 0 K = -585 meV/atom
1.0
6.7318 2.1134 0.9402
-1.1070 6.9684 0.9402
0.0716 0.1156 6.8807
Pm Ir Zr
6 6 2
direct
0.2880 0.7120 0.0000 Pm
0.1971 0.8029 0.5000 Pm
0.8029 0.1971 0.5000 Pm
0.7099 0.7099 0.5021 Pm
0.7120 0.2880 0.0000 Pm
0.2901 0.2901 0.4979 Pm
0.9484 0.9484 0.2089 Ir
0.0516 0.0516 0.7911 Ir
0.5006 0.9998 0.7752 Ir
0.9998 0.5006 0.7752 Ir
0.0002 0.4994 0.2248 Ir
0.4994 0.0002 0.2248 Ir
0.7953 0.7953 0.9535 Zr
0.2047 0.2047 0.0465 Zr


(4)
CaPm8Pr2, optimized geometry, DFT GGA-PBE; formation enthalpy at 0 K = 150 meV/atom
1.0
5.4634 0.0000 -1.6590
-1.0572 7.8282 -3.4816
-0.0935 -0.5393 9.5179
Pm Pr Ca
8 2 1
direct
0.3583 0.1567 0.7166 Pm
0.6417 0.8433 0.2834 Pm
0.0000 0.3073 0.0000 Pm
0.8430 0.8429 0.6859 Pm
0.1570 0.1571 0.3141 Pm
0.0000 0.6927 0.0000 Pm
0.3583 0.5600 0.7166 Pm
0.6417 0.4400 0.2834 Pm
0.7962 0.2962 0.5924 Pr
0.2038 0.7038 0.4076 Pr
0.5000 0.0000 0.0000 Ca


(5)
HfScSb2Os, optimized geometry, DFT GGA-PBE; E_tot = -5.678 eV per atom
1.0
-3.0944 3.8904 1.9025
-3.1260 -3.5205 2.1147
2.8917 0.1156 4.4671
Sc Sb Os Hf
1 2 1 1
direct
0.0000 0.5000 0.0000 Sc
0.5000 0.0000 0.0000 Sb
0.0000 0.0000 0.5000 Sb
0.5000 0.5000 0.5000 Os
0.0000 0.0000 0.0000 Hf


(6)
TaTeRuN2, optimized geometry, DFT GGA-PBE; excess energy over the best structure of this formula in the dataset = 0.000 eV per formula unit
1.0
-0.2374 -3.7058 1.4399
1.0734 -1.4486 -3.5513
5.6591 0.2607 1.6041
Ru Te Ta N
1 1 1 2
direct
0.5000 0.5000 0.5000 Ru
0.0000 0.0000 0.5000 Te
0.0000 0.0000 0.0000 Ta
0.0000 0.5000 0.0000 N
0.5000 0.0000 0.0000 N


(7)
Ba2AlTe, optimized geometry, DFT GGA-PBE; excess energy over the best structure of this formula in the dataset = 0.183 eV per formula unit
1.0
4.7971 0.0036 -0.0017
2.3953 4.1563 -0.0017
2.4013 1.3889 8.9447
Te Ba Al
1 2 1
direct
0.7500 0.7500 0.7500 Te
0.4956 0.4956 0.5131 Ba
0.0044 0.0044 0.9869 Ba
0.2500 0.2500 0.2500 Al


(8)
DyTmPd14, optimized geometry, DFT GGA-PBE; formation enthalpy at 0 K = -426 meV/atom
1.0
-3.5375 -3.9433 -2.1961
-1.9444 -1.1876 5.2626
-5.6717 5.5566 -0.8415
Pd Tm Dy
14 1 1
direct
0.6242 0.6242 0.7572 Pd
0.1258 0.6242 0.7572 Pd
0.6242 0.6242 0.2428 Pd
0.1258 0.1258 0.2428 Pd
0.6242 0.1258 0.7572 Pd
0.8750 0.8750 0.0000 Pd
0.6242 0.1258 0.2428 Pd
0.8750 0.3750 0.5000 Pd
0.1258 0.6242 0.2428 Pd
0.3750 0.8750 0.5000 Pd
0.3750 0.3750 0.0000 Pd
0.8750 0.3750 0.0000 Pd
0.1258 0.1258 0.7572 Pd
0.3750 0.8750 0.0000 Pd
0.3750 0.3750 0.5000 Tm
0.8750 0.8750 0.5000 Dy


(9)
TcIr2Ru, optimized geometry, DFT GGA-PBE; formation enthalpy at 0 K = -100 meV/atom; excess energy over the best structure of this formula in the dataset = 0.271 eV per formula unit
1.0
6.0794 0.0015 0.0047
-2.4322 4.0639 -0.0025
1.2150 0.7273 2.3201
Ru Ir Tc
1 2 1
direct
0.0000 0.5000 0.5000 Ru
0.5000 0.0000 0.5000 Ir
0.0000 0.0000 0.0000 Ir
0.5000 0.5000 0.0000 Tc


(10)
Tb2SmSn, optimized geometry, DFT GGA-PBE; formation enthalpy at 0 K = -432 meV/atom; excess energy over the best structure of this formula in the dataset = 0.000 eV per formula unit
1.0
4.8353 0.0000 0.0000
0.0000 4.8535 0.0000
0.0000 0.0000 4.8535
Tb Sn Sm
2 1 1
direct
0.0000 0.0000 0.5000 Tb
0.0000 0.5000 0.0000 Tb
0.5000 0.0000 0.0000 Sn
0.5000 0.5000 0.5000 Sm


(11)
NaPuAuSe3, optimized geometry, DFT GGA-PBE; E_tot = -5.843 eV per atom
1.0
4.1461 0.0000 0.0000
-2.0731 6.8680 0.0000
0.0000 0.0000 10.7148
Pu Se Na Au
2 6 2 2
direct
0.0000 0.0000 0.5000 Pu
0.0000 0.0000 0.0000 Pu
0.6388 0.2777 0.4547 Se
0.9181 0.8362 0.2500 Se
0.3612 0.7223 0.9547 Se
0.0819 0.1638 0.7500 Se
0.6388 0.2777 0.0453 Se
0.3612 0.7223 0.5453 Se
0.2406 0.4811 0.2500 Na
0.7594 0.5189 0.7500 Na
0.4566 0.9133 0.7500 Au
0.5434 0.0867 0.2500 Au


(12)
AcLa2Al2Si2, optimized geometry, DFT GGA-PBE; E_tot = -5.108 eV per atom
1.0
4.2307 0.0000 0.0000
2.1153 3.6639 0.0000
2.1153 1.2213 12.5190
Si Al La Ac
2 2 2 1
direct
0.3942 0.3942 0.8173 Si
0.6058 0.6058 0.1827 Si
0.2668 0.2668 0.1995 Al
0.7332 0.7332 0.8005 Al
0.1205 0.1205 0.6386 La
0.8795 0.8795 0.3614 La
0.0000 0.0000 0.0000 Ac


(13)
BaAcPm2, optimized geometry, DFT GGA-PBE; formation enthalpy at 0 K = 230 meV/atom; excess energy over the best structure of this formula in the dataset = 0.412 eV per formula unit
1.0
6.1796 0.0000 0.0000
3.0898 5.3517 0.0000
3.0898 1.7839 5.0456
Ac Pm Ba
1 2 1
direct
0.0000 0.0000 0.0000 Ac
0.7500 0.7500 0.7500 Pm
0.2500 0.2500 0.2500 Pm
0.5000 0.5000 0.5000 Ba


(14)
Os2RuPb, optimized geometry, DFT GGA-PBE; formation enthalpy at 0 K = 852 meV/atom
1.0
2.8996 0.0000 0.0000
0.0000 4.7178 0.0246
0.0000 3.3335 4.7853
Ru Os Pb
1 2 1
direct
0.0000 0.0000 0.5000 Ru
0.0000 0.0000 0.0000 Os
0.5000 0.5000 0.0000 Os
0.5000 0.5000 0.5000 Pb


(15)
BaRuW2, optimized geometry, DFT GGA-PBE; formation enthalpy at 0 K = 716 meV/atom; excess energy over the best structure of this formula in the dataset = 0.000 eV per formula unit
1.0
3.2333 0.0000 0.0000
0.0000 3.1919 0.3654
0.0000 2.1295 8.5144
Ba W Ru
1 2 1
direct
0.0000 0.4927 0.5058 Ba
0.5000 0.3200 0.1720 W
0.0000 0.0183 0.9932 W
0.5000 0.6690 0.8290 Ru


(16)
NbBi3As, optimized geometry, DFT GGA-PBE; formation enthalpy at 0 K = 680 meV/atom; excess energy over the best structure of this formula in the dataset = 0.000 eV per formula unit
1.0
5.4740 0.0000 0.0000
0.0000 5.4740 0.0000
0.0000 0.0000 5.4740
Bi As Nb
3 1 1
direct
0.5000 0.0000 0.0000 Bi
0.0000 0.5000 0.0000 Bi
0.0000 0.0000 0.5000 Bi
0.5000 0.5000 0.5000 As
0.0000 0.0000 0.0000 Nb


(17)
ScPtN3, optimized geometry, DFT GGA-PBE; E_tot = -5.888 eV per atom
1.0
4.0538 0.0000 0.0000
0.0000 4.0538 0.0000
0.0000 0.0000 4.0538
N Sc Pt
3 1 1
direct
0.5000 0.0000 0.0000 N
0.0000 0.0000 0.5000 N
0.0000 0.5000 0.0000 N
0.0000 0.0000 0.0000 Sc
0.5000 0.5000 0.5000 Pt


(18)
Li6Np4Cl19, optimized geometry, DFT GGA-PBE; E_tot = -5.054 eV per atom
1.0
-1.5572 1.4244 -9.3858
-7.3474 -4.9459 3.7552
0.7549 8.4952 4.4508
Li Cl Np
6 19 4
direct
0.2524 0.5000 0.7524 Li
0.7524 0.2524 0.5000 Li
0.7476 0.5000 0.2476 Li
0.5000 0.7524 0.2524 Li
0.2476 0.7476 0.5000 Li
0.5000 0.2476 0.7476 Li
0.7791 0.4100 0.9990 Cl
0.3692 0.5891 0.5900 Cl
0.0000 0.7200 0.7200 Cl
0.5891 0.5900 0.3692 Cl
0.9990 0.7791 0.4100 Cl
0.5900 0.3692 0.5891 Cl
0.2800 0.0000 0.2800 Cl
0.7200 0.7200 0.0000 Cl
0.0000 0.0000 0.0000 Cl
0.4100 0.9990 0.7791 Cl
0.2800 0.2800 0.0000 Cl
0.7801 0.0010 0.4109 Cl
0.4109 0.7801 0.0010 Cl
0.6308 0.2209 0.2199 Cl
0.0000 0.2800 0.2800 Cl
0.0010 0.4109 0.7801 Cl
0.2209 0.2199 0.6308 Cl
0.2199 0.6308 0.2209 Cl
0.7200 0.0000 0.7200 Cl
0.0000 0.0000 0.6900 Np
0.3100 0.3100 0.3100 Np
0.0000 0.6900 0.0000 Np
0.6900 0.0000 0.0000 Np


(19)
Sr2IrSe, optimized geometry, DFT GGA-PBE; E_tot = -4.334 eV per atom
1.0
-0.3520 -5.2045 6.1717
1.6134 -6.0983 -5.0506
3.9807 -5.2227 1.1131
Sr Se Ir
4 2 2
direct
0.8750 0.8905 0.7500 Sr
0.1095 0.6250 0.2500 Sr
0.3750 0.3595 0.7500 Sr
0.6405 0.1250 0.2500 Sr
0.5000 0.5000 0.0000 Se
0.2500 0.7500 0.5000 Se
0.7500 0.2500 0.5000 Ir
0.0000 0.0000 0.0000 Ir


(20)
MnCdRu2, optimized geometry, DFT GGA-PBE; formation enthalpy at 0 K = 624 meV/atom
1.0
-2.4467 -4.5105 -4.7684
6.5517 -1.9852 -1.4839
1.9035 -5.1221 -1.2769
Ru Mn Cd
4 2 2
direct
0.3750 0.4363 0.7500 Ru
0.5637 0.1250 0.2500 Ru
0.8750 0.8137 0.7500 Ru
0.1863 0.6250 0.2500 Ru
0.2500 0.7500 0.5000 Mn
0.5000 0.5000 0.0000 Mn
0.7500 0.2500 0.5000 Cd
0.0000 0.0000 0.0000 Cd